The following is a PBE calculation of an optimized crystal structure of SmTh4Se6, from Alexandria.

Computed properties:
For the total moment, the calculation gives 0.0 Bohr magnetons per cell. For the formation energy (no corrections), the calculation gives -1642 meV/atom.

a b c (Å): 4.0398 14.0602 21.0399
angles (deg): 90.00 90.00 90.00
Last column: nearest neighbours and their distance in Å.
Space group Cmcm (No. 63)
One atom of each set of equivalent atoms:
Sm 0.0000 0.1609 0.2500 [4 per cell]  6 Se 2.96-3.04
Th 0.0000 0.0879 0.6245 [8 per cell]  6 Se 2.90-3.01
Th 0.0000 0.3564 0.5359 [8 per cell]  6 Se 2.95-3.13
Se 0.0000 0.0000 0.0000 [4 per cell]  6 Th 2.90-2.95
Se 0.0000 0.1854 0.7500 [4 per cell]  2 Sm 2.96, 2 Th 2.98
Se 0.0000 0.2641 0.0994 [8 per cell]  5 Th 2.95-3.13
Se 0.0000 0.4426 0.6674 [8 per cell]  3 Th 3.01-3.02, 2 Sm 3.04